Density functional theory data (GGA+U) for crystalline SrCrSi2O6 at its relaxed geometry.

Cell and atoms, written as POSCAR:
```
SrCrSi2O6
1.0
5.285 -5.066 0.000
5.285 5.066 0.000
-1.873 0.000 5.231
Sr Cr Si O
2 2 4 12
direct
0.110 0.890 0.750 Sr
0.890 0.110 0.250 Sr
0.277 0.723 0.250 Cr
0.723 0.277 0.750 Cr
0.210 0.374 0.831 Si
0.374 0.210 0.331 Si
0.626 0.790 0.669 Si
0.790 0.626 0.169 Si
0.027 0.233 0.710 O
0.172 0.598 0.877 O
0.233 0.027 0.210 O
0.316 0.355 0.130 O
0.355 0.316 0.630 O
0.402 0.828 0.623 O
0.598 0.172 0.377 O
0.645 0.684 0.370 O
0.684 0.645 0.870 O
0.767 0.973 0.790 O
0.828 0.402 0.123 O
0.973 0.767 0.290 O
```

Computed properties:
VASP energy: -7.5692 eV/atom
D(E_F): 0.0 states/eV/f.u.